1.
Material: La2HfGa
Method: DFT, PBE
State: relaxed

Lattice parameters (Å, degrees): 11.869 11.869 11.869 159.10 159.10 29.73
Positions (direct):
La (0.123, 0.625, 0.998)
La (0.375, 0.373, 0.498)
La (0.627, 0.125, 0.002)
La (0.875, 0.877, 0.502)
Hf (0.250, 0.750, 0.500)
Hf (0.500, 0.500, 0.000)
Ga (0.000, 0.000, 0.000)
Ga (0.750, 0.250, 0.500)

space-group type = No. 122
E_form = 0.311 eV/atom

2.
Material: Pr4Ga3Rh
Method: DFT, PBE
State: relaxed

Lattice parameters (Å, degrees): 4.266 4.418 11.001 90.00 90.00 90.00
Positions (direct):
Pr (0.000, 0.000, 0.000)
Pr (0.000, 0.500, 0.483)
Pr (0.500, 0.000, 0.703)
Pr (0.500, 0.500, 0.208)
Ga (0.000, 0.500, 0.775)
Ga (0.500, 0.000, 0.412)
Ga (0.500, 0.500, 0.920)
Rh (0.000, 0.000, 0.268)

space-group type = No. 25
E_form = -0.603 eV/atom

3.
Material: LiOs2Cl
Method: DFT, PBE
State: relaxed

Lattice parameters (Å, degrees): 2.582 4.766 6.442 90.00 90.00 90.00
Positions (direct):
Li (0.000, 0.000, 0.000)
Os (0.500, 0.250, 0.500)
Os (0.500, 0.750, 0.500)
Cl (0.000, 0.500, 0.000)

space-group type = No. 47
formation energy from raw total energies = 3.83 eV/f.u.
ΔE to the lowest computed polymorph = 19.23 kcal/mol of atoms

4.
Material: NaBiIO2
Method: DFT, PBE
State: relaxed

Lattice parameters (Å, degrees): 7.788 7.788 5.756 90.00 90.00 135.37
Positions (direct):
Na (0.068, 0.932, 0.750)
Na (0.932, 0.068, 0.250)
Bi (0.436, 0.564, 0.750)
Bi (0.564, 0.436, 0.250)
I (0.242, 0.758, 0.250)
I (0.758, 0.242, 0.750)
O (0.272, 0.272, 0.000)
O (0.272, 0.272, 0.500)
O (0.728, 0.728, 0.000)
O (0.728, 0.728, 0.500)

space-group type = No. 63
formation energy from raw total energies = -4.96 eV/f.u.
ΔE to the lowest computed polymorph = 0.00 kcal/mol of atoms

5.
Material: NaCd3Au4
Method: DFT, PBE
State: relaxed

Lattice parameters (Å, degrees): 9.959 6.105 5.122 90.00 90.00 90.00
Positions (direct):
Na (0.000, 0.000, 0.000)
Na (0.500, 0.000, 0.000)
Cd (0.000, 0.500, 0.000)
Cd (0.250, 0.000, 0.391)
Cd (0.250, 0.500, 0.387)
Cd (0.500, 0.500, 0.000)
Cd (0.750, 0.000, 0.609)
Cd (0.750, 0.500, 0.613)
Au (0.000, 0.251, 0.500)
Au (0.000, 0.749, 0.500)
Au (0.250, 0.252, 0.885)
Au (0.250, 0.748, 0.885)
Au (0.500, 0.251, 0.500)
Au (0.500, 0.749, 0.500)
Au (0.750, 0.252, 0.115)
Au (0.750, 0.748, 0.115)

space-group type = No. 51
E_form = -0.202 eV/atom

6.
Material: Y2HfO5
Method: DFT, PBE
State: relaxed

Lattice parameters (Å, degrees): 9.684 7.178 6.517 90.00 105.44 90.00
Positions (direct):
Y (0.030, 0.126, 0.241)
Y (0.030, 0.374, 0.741)
Y (0.355, 0.131, 0.041)
Y (0.355, 0.369, 0.541)
Y (0.645, 0.631, 0.459)
Y (0.645, 0.869, 0.959)
Y (0.970, 0.626, 0.259)
Y (0.970, 0.874, 0.759)
Hf (0.312, 0.610, 0.063)
Hf (0.312, 0.890, 0.563)
Hf (0.688, 0.110, 0.437)
Hf (0.688, 0.390, 0.937)
O (0.101, 0.633, 0.992)
O (0.101, 0.867, 0.492)
O (0.111, 0.110, 0.933)
O (0.111, 0.390, 0.433)
O (0.279, 0.099, 0.347)
O (0.279, 0.401, 0.847)
O (0.335, 0.677, 0.383)
O (0.335, 0.823, 0.883)
O (0.448, 0.100, 0.743)
O (0.448, 0.400, 0.243)
O (0.552, 0.600, 0.757)
O (0.552, 0.900, 0.257)
O (0.665, 0.177, 0.117)
O (0.665, 0.323, 0.617)
O (0.721, 0.599, 0.153)
O (0.721, 0.901, 0.653)
O (0.889, 0.610, 0.567)
O (0.889, 0.890, 0.067)
O (0.899, 0.133, 0.508)
O (0.899, 0.367, 0.008)

space-group type = No. 14
formation energy from raw total energies = -27.87 eV/f.u.
ΔE to the lowest computed polymorph = 1.59 kcal/mol of atoms

7.
Material: Li3PtCl
Method: DFT, PBE
State: relaxed

Lattice parameters (Å, degrees): 4.782 4.782 4.782 90.00 90.00 90.00
Positions (direct):
Li (0.000, 0.000, 0.500)
Li (0.000, 0.500, 0.000)
Li (0.500, 0.000, 0.000)
Pt (0.000, 0.000, 0.000)
Cl (0.500, 0.500, 0.500)

space-group type = No. 221
formation energy from raw total energies = -2.82 eV/f.u.
ΔE to the lowest computed polymorph = 1.67 kcal/mol of atoms

8.
Material: LiInBr2
Method: DFT, PBE
State: relaxed

Lattice parameters (Å, degrees): 5.916 5.916 5.916 140.09 106.13 87.43
Positions (direct):
Li (0.000, 0.000, 0.000)
In (0.500, 0.500, 0.000)
Br (0.203, 0.703, 0.500)
Br (0.797, 0.297, 0.500)

space-group type = No. 71
formation energy from raw total energies = -3.82 eV/f.u.
ΔE to the lowest computed polymorph = 2.55 kcal/mol of atoms

9.
Material: CdCo2Br
Method: DFT, PBE
State: relaxed

Lattice parameters (Å, degrees): 3.943 3.169 6.291 90.00 90.07 90.00
Positions (direct):
Cd (0.000, 0.000, 0.000)
Co (0.499, 0.500, 0.824)
Co (0.501, 0.500, 0.176)
Br (0.500, 0.000, 0.500)

space-group type = No. 10
formation energy from raw total energies = 1.59 eV/f.u.
ΔE to the lowest computed polymorph = 1.65 kcal/mol of atoms

10.
Material: La2AsN
Method: DFT, PBE
State: relaxed

Lattice parameters (Å, degrees): 7.245 7.245 6.739 101.47 101.47 36.33
Positions (direct):
La (0.101, 0.678, 0.924)
La (0.322, 0.899, 0.576)
La (0.678, 0.101, 0.424)
La (0.899, 0.322, 0.076)
As (0.000, 0.500, 0.500)
As (0.500, 0.000, 0.000)
N (0.066, 0.934, 0.250)
N (0.934, 0.066, 0.750)

space-group type = No. 15
formation energy from raw total energies = -5.26 eV/f.u.
ΔE to the lowest computed polymorph = 0.91 kcal/mol of atoms

11.
Material: TiV
Method: DFT, PBE
State: relaxed

Lattice parameters (Å, degrees): 4.484 4.484 4.779 90.00 90.00 120.00
Positions (direct):
Ti (0.333, 0.667, 0.250)
Ti (0.667, 0.333, 0.750)
V (0.333, 0.667, 0.750)
V (0.667, 0.333, 0.250)

space-group type = No. 194
E_form = 1.520 eV/atom

12.
Material: Tb2Y6Tm3Sc
Method: DFT, PBE
State: relaxed

Lattice parameters (Å, degrees): 6.101 6.101 11.684 94.99 94.99 119.95
Positions (direct):
Tb (0.167, 0.833, 0.000)
Tb (0.833, 0.167, 0.000)
Y (0.086, 0.417, 0.751)
Y (0.252, 0.252, 0.250)
Y (0.417, 0.086, 0.751)
Y (0.583, 0.914, 0.249)
Y (0.748, 0.748, 0.750)
Y (0.914, 0.583, 0.249)
Tm (0.000, 0.000, 0.500)
Tm (0.334, 0.666, 0.500)
Tm (0.666, 0.334, 0.500)
Sc (0.500, 0.500, 0.000)

space-group type = No. 12
E_form = 0.035 eV/atom

13.
Material: LiNp2PaN4
Method: DFT, PBE
State: relaxed

Lattice parameters (Å, degrees): 5.785 3.500 5.992 90.00 108.69 90.00
Positions (direct):
Li (0.000, 0.000, 0.000)
Np (0.000, 0.500, 0.500)
Np (0.500, 0.000, 0.500)
Pa (0.500, 0.500, 0.000)
N (0.258, 0.000, 0.759)
N (0.284, 0.500, 0.275)
N (0.716, 0.500, 0.725)
N (0.742, 0.000, 0.241)

space-group type = No. 10
formation energy from raw total energies = -8.71 eV/f.u.

14.
Material: NaBiAs2Os
Method: DFT, PBE
State: relaxed

Lattice parameters (Å, degrees): 4.712 4.712 6.126 90.00 90.00 90.00
Positions (direct):
Na (0.000, 0.000, 0.000)
Bi (0.500, 0.500, 0.000)
As (0.000, 0.500, 0.500)
As (0.500, 0.000, 0.500)
Os (0.500, 0.500, 0.500)

space-group type = No. 123
E_form = 0.362 eV/atom

15.
Material: SnSbSN2
Method: DFT, PBE
State: relaxed

Lattice parameters (Å, degrees): 4.121 4.121 5.160 90.00 90.00 90.00
Positions (direct):
Sn (0.000, 0.000, 0.000)
Sb (0.500, 0.500, 0.500)
S (0.000, 0.000, 0.500)
N (0.000, 0.500, 0.000)
N (0.500, 0.000, 0.000)

space-group type = No. 123
formation energy from raw total energies = 5.53 eV/f.u.
ΔE to the lowest computed polymorph = 4.81 kcal/mol of atoms

16.
Material: Nd6Sm3Dy2Y
Method: DFT, PBE
State: relaxed

Lattice parameters (Å, degrees): 6.315 6.315 11.994 95.03 95.03 120.00
Positions (direct):
Nd (0.083, 0.417, 0.752)
Nd (0.249, 0.249, 0.248)
Nd (0.417, 0.083, 0.752)
Nd (0.583, 0.917, 0.248)
Nd (0.751, 0.751, 0.752)
Nd (0.917, 0.583, 0.248)
Sm (0.000, 0.000, 0.500)
Sm (0.333, 0.667, 0.500)
Sm (0.667, 0.333, 0.500)
Dy (0.167, 0.833, 0.000)
Dy (0.833, 0.167, 0.000)
Y (0.500, 0.500, 0.000)

space-group type = No. 12
E_form = 0.012 eV/atom

17.
Material: Na3AgHg
Method: DFT, PBE
State: relaxed

Lattice parameters (Å, degrees): 4.154 8.068 8.867 90.37 90.07 104.74
Positions (direct):
Na (0.056, 0.111, 0.207)
Na (0.243, 0.485, 0.817)
Na (0.400, 0.805, 0.423)
Na (0.600, 0.195, 0.577)
Na (0.757, 0.515, 0.183)
Na (0.944, 0.889, 0.793)
Ag (0.207, 0.413, 0.427)
Ag (0.793, 0.587, 0.573)
Hg (0.409, 0.817, 0.063)
Hg (0.591, 0.183, 0.937)

space-group type = No. 2
ΔE to the lowest computed polymorph = 0.00 kcal/mol of atoms
E_form = -0.081 eV/atom

18.
Material: Tb3PmSm4S8
Method: DFT, PBE
State: relaxed

Lattice parameters (Å, degrees): 7.973 7.973 7.973 59.88 59.88 59.88
Positions (direct):
Tb (0.000, 0.500, 0.500)
Tb (0.500, 0.000, 0.500)
Tb (0.500, 0.500, 0.000)
Pm (0.000, 0.000, 0.000)
Sm (0.000, 0.000, 0.500)
Sm (0.000, 0.500, 0.000)
Sm (0.500, 0.000, 0.000)
Sm (0.500, 0.500, 0.500)
S (0.251, 0.251, 0.744)
S (0.251, 0.744, 0.251)
S (0.253, 0.253, 0.253)
S (0.256, 0.749, 0.749)
S (0.744, 0.251, 0.251)
S (0.747, 0.747, 0.747)
S (0.749, 0.256, 0.749)
S (0.749, 0.749, 0.256)

space-group type = No. 166
formation energy from raw total energies = -32.24 eV/f.u.

19.
Material: BaNaBe2H6
Method: DFT, PBE
State: relaxed

Lattice parameters (Å, degrees): 6.710 6.710 6.710 43.57 43.57 43.57
Positions (direct):
Ba (0.000, 0.000, 0.000)
Na (0.500, 0.500, 0.500)
Be (0.246, 0.246, 0.246)
Be (0.754, 0.754, 0.754)
H (0.061, 0.582, 0.582)
H (0.418, 0.418, 0.939)
H (0.418, 0.939, 0.418)
H (0.582, 0.061, 0.582)
H (0.582, 0.582, 0.061)
H (0.939, 0.418, 0.418)

space-group type = No. 166

20.
Material: Sr2Cu5Ge3
Method: DFT, PBE
State: relaxed

Lattice parameters (Å, degrees): 8.415 8.415 8.415 106.05 89.54 137.02
Positions (direct):
Sr (0.125, 0.244, 0.369)
Sr (0.375, 0.744, 0.120)
Sr (0.625, 0.256, 0.880)
Sr (0.875, 0.756, 0.631)
Cu (0.004, 0.750, 0.254)
Cu (0.118, 0.632, 0.750)
Cu (0.250, 0.250, 0.000)
Cu (0.382, 0.132, 0.513)
Cu (0.496, 0.750, 0.746)
Cu (0.504, 0.250, 0.254)
Cu (0.618, 0.868, 0.487)
Cu (0.750, 0.750, 0.000)
Cu (0.882, 0.368, 0.250)
Cu (0.996, 0.250, 0.746)
Ge (0.129, 0.877, 0.006)
Ge (0.250, 0.750, 0.500)
Ge (0.371, 0.377, 0.747)
Ge (0.629, 0.623, 0.253)
Ge (0.750, 0.250, 0.500)
Ge (0.871, 0.123, 0.994)

space-group type = No. 72
E_form = -0.273 eV/atom

21.
Material: PrThBiSe
Method: DFT, PBE
State: relaxed

Lattice parameters (Å, degrees): 8.050 8.050 8.050 31.07 31.07 31.07
Positions (direct):
Pr (0.000, 0.000, 0.000)
Th (0.186, 0.186, 0.186)
Bi (0.427, 0.427, 0.427)
Se (0.594, 0.594, 0.594)

space-group type = No. 160
formation energy from raw total energies = -4.77 eV/f.u.

22.
Material: Pr4TmSc
Method: DFT, PBE
State: relaxed

Lattice parameters (Å, degrees): 6.220 6.220 6.229 99.24 99.24 119.87
Positions (direct):
Pr (0.162, 0.838, 0.000)
Pr (0.335, 0.665, 0.500)
Pr (0.665, 0.335, 0.500)
Pr (0.838, 0.162, 0.000)
Tm (0.500, 0.500, 0.000)
Sc (0.000, 0.000, 0.500)

space-group type = No. 12
ΔE to the lowest computed polymorph = 0.00 kcal/mol of atoms
E_form = 0.035 eV/atom

23.
Material: TlTcRh3
Method: DFT, PBE
State: relaxed

Lattice parameters (Å, degrees): 4.718 4.718 4.718 90.00 90.00 90.00
Positions (direct):
Tl (0.000, 0.000, 0.000)
Tc (0.500, 0.500, 0.500)
Rh (0.000, 0.500, 0.500)
Rh (0.500, 0.000, 0.500)
Rh (0.500, 0.500, 0.000)

space-group type = No. 221
ΔE to the lowest computed polymorph = 0.00 kcal/mol of atoms
E_form = 0.979 eV/atom

Number 1: volume 26.6 Å³/atom, DFT total energy -5.40 eV per atom. Number 2: volume 25.9 Å³/atom, DFT total energy -5.05 eV per atom. Number 3: volume 19.8 Å³/atom, DFT total energy -5.60 eV per atom. Number 4: volume 24.5 Å³/atom, DFT total energy -4.32 eV per atom. Number 5: volume 19.5 Å³/atom, DFT total energy -2.35 eV per atom. Number 6: volume 13.6 Å³/atom, DFT total energy -9.44 eV per atom. Number 7: volume 21.9 Å³/atom, DFT total energy -3.29 eV per atom. Number 8: volume 30.7 Å³/atom, DFT total energy -2.95 eV per atom. Number 9: volume 19.7 Å³/atom, DFT total energy -3.80 eV per atom. Number 10: volume 25.6 Å³/atom, DFT total energy -7.02 eV per atom. Number 11: volume 20.8 Å³/atom, DFT total energy -6.99 eV per atom. Number 12: volume 30.9 Å³/atom, DFT total energy -5.61 eV per atom. Number 13: volume 14.4 Å³/atom, DFT total energy -9.91 eV per atom. Number 14: volume 27.2 Å³/atom, DFT total energy -4.78 eV per atom. Number 15: volume 17.5 Å³/atom, DFT total energy -4.68 eV per atom. Number 16: volume 34.0 Å³/atom, DFT total energy -4.86 eV per atom. Number 17: volume 28.7 Å³/atom, DFT total energy -1.50 eV per atom. Number 18: volume 22.3 Å³/atom, DFT total energy -6.42 eV per atom. Number 19: volume 13.0 Å³/atom, DFT total energy -3.27 eV per atom. Number 20: volume 18.6 Å³/atom, DFT total energy -4.04 eV per atom. Number 21: volume 30.8 Å³/atom, DFT total energy -6.08 eV per atom. Number 22: volume 33.0 Å³/atom, DFT total energy -4.95 eV per atom. Number 23: volume 21.0 Å³/atom, DFT total energy -5.98 eV per atom.